(1)
A relaxed structure of VSiAg2. Source: Alexandria via LeMat-Bulk, functional PBE.

Output
Density of states at the Fermi level = 4.84 states/eV/cell
Symmetry = I-42d
Total moment = 1.58 μB per formula unit
Uncorrected formation energy = 395 meV/atom

Structure (POSCAR):
```
VSiAg2
1.0
-1.8582 1.8582 10.0325
1.8582 -1.8582 10.0325
1.8582 1.8582 -10.0325
V Si Ag
2 2 4
Cartesian
0.0000 0.0000 0.0000
0.0000 1.8582 5.0162
1.8582 0.0000 5.0162
0.0000 0.0000 10.0325
0.9291 -0.9212 7.5244
0.9370 0.9291 2.5081
0.9291 2.7793 -2.5081
0.9212 0.9291 12.5406
```

***

(2)
A relaxed structure of Sr4Tl5Au2. Source: Alexandria via LeMat-Bulk, functional PBE.

Output
DFT formation energy = -444 meV per atom
Density of states at the Fermi level = 6.48 states/eV/cell
Symmetry = P2/m
Total moment = 0.00 μB per formula unit

Structure (POSCAR):
```
Sr4Tl5Au2
1.0
8.3199 0.0000 0.0000
0.0000 3.9840 0.0000
-0.8788 0.0000 10.4398
Sr Tl Au
4 5 2
Cartesian
1.1477 0.0000 3.7922
1.1949 0.0000 9.8194
6.2462 0.0000 0.6204
6.2935 0.0000 6.6476
0.9055 1.9920 6.8019
3.5761 1.9920 1.9919
3.7206 1.9920 5.2199
3.8651 1.9920 8.4479
6.5356 1.9920 3.6378
0.4327 1.9920 1.3866
7.0084 1.9920 9.0532
```

***

(3)
A relaxed structure of KB2P2S6. Source: Alexandria via LeMat-Bulk, functional PBE.

Output
Density of states at the Fermi level = 2.53 states/eV/cell
Symmetry = C2/m
Total moment = 0.00 μB per formula unit
Uncorrected formation energy = -292 meV/atom

Structure (POSCAR):
```
KB2P2S6
1.0
7.1488 -2.9297 0.0000
7.1488 2.9297 0.0000
-4.0302 0.0000 7.1182
K B P S
1 2 2 6
Cartesian
0.0000 0.0000 0.0000
6.1952 0.0000 0.8206
4.0723 0.0000 6.2975
-1.2395 0.0000 2.7521
11.5070 0.0000 4.3661
4.9550 1.3738 1.6054
5.3125 1.3738 5.5128
2.2092 0.0000 6.0046
8.0582 0.0000 1.1136
4.9550 -1.3738 1.6054
5.3125 -1.3738 5.5128
```

***

(4)
A relaxed structure of LiAcTlAu. Source: Alexandria via LeMat-Bulk, functional PBE.

Output
DFT formation energy = -471 meV per atom
Excess energy over the best structure of this formula in the dataset = 0 meV per atom
Density of states at the Fermi level = 3.29 states/eV/cell
Symmetry = R3m
Total moment = 0.00 μB per formula unit

Structure (POSCAR):
```
LiAcTlAu
1.0
2.4156 1.3947 5.2742
-2.4156 1.3947 5.2742
0.0000 -2.7893 5.2742
Li Ac Tl Au
1 1 1 1
Cartesian
0.0000 0.0000 0.0000
0.0000 0.0000 7.5750
0.0000 0.0000 4.2202
0.0000 0.0000 10.8911
```

***

(5)
A relaxed structure of LiSmI. Source: Alexandria via LeMat-Bulk, functional PBE.

Output
Density of states at the Fermi level = 2.67 states/eV/cell
Symmetry = P-1
Total moment = 0.00 μB per formula unit
Uncorrected formation energy = -511 meV/atom

Structure (POSCAR):
```
LiSmI
1.0
3.9377 0.0000 0.0000
0.0623 6.3939 0.0000
1.9194 1.6732 6.7945
Li Sm I
2 2 2
Cartesian
1.0135 2.6848 3.0127
4.9059 5.3823 3.7817
2.9361 3.6521 5.8755
2.9834 4.4150 0.9190
2.9340 6.8874 5.2826
2.9855 1.1798 1.5119
```

***

(6)
A relaxed structure of GaNiSbTe2. Source: Alexandria via LeMat-Bulk, functional PBE.

Output
Excess energy over the best structure of this formula in the dataset = 720 meV per atom
Density of states at the Fermi level = 6.59 states/eV/cell
Symmetry = P4/mmm
Total moment = 0.93 μB per formula unit
Uncorrected formation energy = 954 meV/atom

Structure (POSCAR):
```
GaNiSbTe2
1.0
5.3796 0.0000 0.0000
0.0000 5.3796 0.0000
0.0000 0.0000 5.1546
Ga Ni Sb Te
1 1 1 2
Cartesian
0.0000 0.0000 0.0000
2.6898 2.6898 2.5773
0.0000 0.0000 2.5773
0.0000 2.6898 0.0000
2.6898 0.0000 0.0000
```

***

(7)
A relaxed structure of Pm7InRu2. Source: Alexandria via LeMat-Bulk, functional PBE.

Output
DFT formation energy = -64 meV per atom
Density of states at the Fermi level = 9.89 states/eV/cell
Symmetry = Cmmm
Total moment = 0.00 μB per formula unit

Structure (POSCAR):
```
Pm7InRu2
1.0
4.5686 -6.9432 0.0000
4.5686 6.9432 0.0000
0.0000 0.0000 5.2867
Pm In Ru
7 1 2
Cartesian
0.0000 0.0000 0.0000
2.8863 1.8022 0.0000
4.5686 3.8683 2.6434
2.8863 -1.8022 0.0000
6.2509 1.8022 0.0000
4.5686 -3.8683 2.6434
6.2509 -1.8022 0.0000
4.5686 0.0000 2.6434
4.5686 4.1923 0.0000
4.5686 -4.1923 0.0000
```

***

(8)
A relaxed structure of LiScPt. Source: Alexandria via LeMat-Bulk, functional PBE.

Output
DFT formation energy = -752 meV per atom
Excess energy over the best structure of this formula in the dataset = 55 meV per atom
Density of states at the Fermi level = 1.90 states/eV/cell
Symmetry = I4mm
Total moment = 0.00 μB per formula unit

Structure (POSCAR):
```
LiScPt
1.0
-1.7159 1.7159 4.3138
1.7159 -1.7159 4.3138
1.7159 1.7159 -4.3138
Li Sc Pt
1 1 1
Cartesian
0.0000 0.0000 0.0000
0.0000 0.0000 2.6638
0.0000 0.0000 5.6712
```

***

(9)
A relaxed structure of Ca3Th2UN6. Source: Alexandria via LeMat-Bulk, functional PBE.

Output
Density of states at the Fermi level = 4.24 states/eV/cell
Symmetry = C2/m
Total moment = 1.03 μB per formula unit
Uncorrected formation energy = -1376 meV/atom

Structure (POSCAR):
```
Ca3Th2UN6
1.0
3.1241 -5.4187 0.0000
3.1241 5.4187 0.0000
-2.0800 0.0000 5.7496
Ca Th U N
3 2 1 6
Cartesian
0.0000 0.0000 0.0000
3.1241 1.7528 0.0000
3.1241 -1.7528 0.0000
2.0841 3.6082 2.8748
2.0841 -3.6082 2.8748
2.0841 0.0000 2.8748
1.1122 1.6850 1.6141
0.1396 0.0000 4.1129
1.1122 -1.6850 1.6141
3.0559 1.6850 4.1355
4.0285 0.0000 1.6366
3.0559 -1.6850 4.1355
```

***

(10)
A relaxed structure of LaHf2Ge2. Source: Alexandria via LeMat-Bulk, functional PBE.

Output
DFT formation energy = -635 meV per atom
Excess energy over the best structure of this formula in the dataset = 0 meV per atom
Density of states at the Fermi level = 5.31 states/eV/cell
Symmetry = I4/mmm
Total moment = 0.00 μB per formula unit

Structure (POSCAR):
```
LaHf2Ge2
1.0
-2.1503 2.1503 6.1987
2.1503 -2.1503 6.1987
2.1503 2.1503 -6.1987
La Hf Ge
1 2 2
Cartesian
0.0000 0.0000 0.0000
2.1503 0.0000 3.0993
0.0000 2.1503 3.0993
0.0000 0.0000 4.8838
0.0000 0.0000 7.5135
```

***

(11)
A relaxed structure of NbSb2Ir. Source: Alexandria via LeMat-Bulk, functional PBE.

Output
Excess energy over the best structure of this formula in the dataset = 321 meV per atom
Density of states at the Fermi level = 3.69 states/eV/cell
Symmetry = R-3m
Total moment = 0.00 μB per formula unit
Uncorrected formation energy = 397 meV/atom

Structure (POSCAR):
```
NbSb2Ir
1.0
1.6085 0.9286 9.5800
-1.6085 0.9286 9.5800
0.0000 -1.8573 9.5800
Nb Sb Ir
1 2 1
Cartesian
0.0000 0.0000 0.0000
0.0000 0.0000 2.7925
0.0000 0.0000 25.9476
0.0000 0.0000 14.3701
```

***

(12)
A relaxed structure of AcPrSmHg. Source: Alexandria via LeMat-Bulk, functional PBE.

Output
DFT formation energy = -225 meV per atom
Excess energy over the best structure of this formula in the dataset = 0 meV per atom
Density of states at the Fermi level = 5.59 states/eV/cell
Symmetry = P4mm
Total moment = 0.00 μB per formula unit

Structure (POSCAR):
```
AcPrSmHg
1.0
3.8472 0.0000 0.0000
0.0000 3.8472 0.0000
0.0000 0.0000 9.0107
Ac Pr Sm Hg
1 1 1 1
Cartesian
0.0000 0.0000 0.0000
1.9236 1.9236 6.3713
1.9236 1.9236 2.5835
0.0000 0.0000 4.3871
```